Record 1
VASP calculation (GGA-PBE) on a relaxed PtSe2Cl crystal.

POSCAR file:
```
PtSe2Cl
1.0
5.724 -1.834 0.000
5.724 1.834 0.000
-1.260 0.000 5.198
Pt Se Cl
1 2 1
Cartesian
0.000 0.000 0.000
5.617 0.000 1.727
7.445 0.000 0.154
3.223 0.000 3.749
```

Computed properties:
Energy in Ry/atom: -0.269
Space-group type: No. 8
Crystal system: monoclinic
Raw formation energy in meV/atom: 51

Record 2
VASP calculation (GGA-PBE) on a relaxed BaAg3Pb3 crystal.

POSCAR file:
```
BaAg3Pb3
1.0
3.927 2.267 7.425
-3.927 2.267 7.425
0.000 -4.534 7.425
Ba Ag Pb
2 6 6
Cartesian
0.000 0.000 2.319
0.000 0.000 19.955
0.000 -1.708 7.339
-1.479 0.854 7.339
-1.479 -0.854 14.936
1.479 0.854 7.339
1.479 -0.854 14.936
0.000 1.708 14.936
-1.800 -1.039 9.694
0.000 -2.079 12.580
-1.800 1.039 12.580
1.800 -1.039 9.694
0.000 2.079 9.694
1.800 1.039 12.580
```

Computed properties:
Energy in Ry/atom: -0.238
Energy relative to the elements in eV/atom: -0.146
Space-group type: No. 166
Crystal system: trigonal

Record 3
VASP calculation (GGA-PBE) on a relaxed In2Ni21B6 crystal.

POSCAR file:
```
In2Ni21B6
1.0
0.000 5.300 5.300
5.300 0.000 5.300
5.300 5.300 0.000
In Ni B
2 21 6
Cartesian
2.650 2.650 2.650
7.951 7.951 7.951
0.000 0.000 0.000
1.781 1.781 0.000
3.519 3.519 0.000
1.781 0.000 1.781
5.300 3.519 1.781
3.519 0.000 3.519
5.300 1.781 3.519
6.507 4.094 4.094
0.000 1.781 1.781
3.519 5.300 1.781
3.519 1.781 5.300
4.094 4.094 4.094
6.507 6.507 4.094
6.507 4.094 6.507
4.094 6.507 4.094
4.094 4.094 6.507
6.507 6.507 6.507
0.000 3.519 3.519
1.781 5.300 3.519
1.781 3.519 5.300
4.094 6.507 6.507
5.300 5.300 2.890
5.300 2.890 5.300
7.711 5.300 5.300
2.890 5.300 5.300
5.300 7.711 5.300
5.300 5.300 7.711
```

Computed properties:
Energy in Ry/atom: -0.443
Energy relative to the elements in eV/atom: -0.265
Space-group type: No. 225
Crystal system: cubic

Record 4
VASP calculation (GGA-PBE) on a relaxed Zn2TcAu4 crystal.

POSCAR file:
```
Zn2TcAu4
1.0
-2.566 2.566 6.406
2.566 -2.566 6.406
2.566 2.566 -6.406
Zn Tc Au
2 1 4
Cartesian
0.000 0.000 1.287
0.000 0.000 11.526
0.000 0.000 6.406
2.566 0.000 0.000
0.000 0.000 3.767
0.000 2.566 0.000
0.000 0.000 9.045
```

Computed properties:
Energy in Ry/atom: -0.221
Energy relative to the elements in eV/atom: 0.711
Space-group type: No. 139
Crystal system: tetragonal

Record 5
VASP calculation (GGA-PBE) on a relaxed NaSiRhPb2 crystal.

POSCAR file:
```
NaSiRhPb2
1.0
5.185 0.000 0.000
0.000 5.185 0.000
0.000 0.000 5.236
Na Si Rh Pb
1 1 1 2
Cartesian
0.000 0.000 0.000
2.592 2.592 0.000
0.000 0.000 2.618
0.000 2.592 2.618
2.592 0.000 2.618
```

Computed properties:
Energy in Ry/atom: -0.282
Space-group type: No. 123
Crystal system: tetragonal
Raw formation energy in meV/atom: 460

Record 6
VASP calculation (GGA-PBE) on a relaxed NdGdHgRu crystal.

POSCAR file:
```
NdGdHgRu
1.0
0.000 3.632 3.632
3.632 0.000 3.632
3.632 3.632 0.000
Nd Gd Hg Ru
1 1 1 1
Cartesian
0.000 0.000 0.000
3.632 3.632 3.632
5.447 5.447 5.447
1.816 1.816 1.816
```

Computed properties:
Energy in Ry/atom: -0.543
Energy relative to the elements in eV/atom: -0.277
Space-group type: No. 216
Crystal system: cubic

Record 7
VASP calculation (GGA-PBE) on a relaxed SrLaAlZn crystal.

POSCAR file:
```
SrLaAlZn
1.0
0.000 3.865 3.865
3.865 0.000 3.865
3.865 3.865 0.000
Sr La Al Zn
1 1 1 1
Cartesian
0.000 0.000 0.000
3.865 3.865 3.865
5.798 5.798 5.798
1.933 1.933 1.933
```

Computed properties:
Energy in Ry/atom: -0.230
Energy relative to the elements in eV/atom: -0.220
Space-group type: No. 216
Crystal system: cubic

Record 8
VASP calculation (GGA-PBE) on a relaxed LaSbOs2 crystal.

POSCAR file:
```
LaSbOs2
1.0
3.072 0.000 0.000
0.000 4.433 0.000
-0.979 0.000 6.055
La Sb Os
1 1 2
Cartesian
0.000 0.000 0.000
1.046 0.000 3.028
0.248 2.216 4.238
1.844 2.216 1.817
```

Computed properties:
Energy in Ry/atom: -0.542
Space-group type: No. 10
Crystal system: monoclinic
Raw formation energy in meV/atom: 503

Record 9
VASP calculation (GGA-PBE) on a relaxed NbCuP3 crystal.

POSCAR file:
```
NbCuP3
1.0
4.796 0.000 0.000
0.000 4.796 0.000
0.000 0.000 4.796
Nb Cu P
1 1 3
Cartesian
0.000 0.000 0.000
2.398 2.398 2.398
0.000 0.000 2.398
0.000 2.398 0.000
2.398 0.000 0.000
```

Computed properties:
Energy in Ry/atom: -0.397
Energy relative to the elements in eV/atom: 0.683
Space-group type: No. 221
Crystal system: cubic

Record 10
VASP calculation (GGA-PBE) on a relaxed SrRh3 crystal.

POSCAR file:
```
SrRh3
1.0
5.300 0.000 0.000
0.000 5.300 0.000
0.000 0.000 5.300
Sr Rh
2 6
Cartesian
0.000 0.000 0.000
2.650 2.650 2.650
0.000 1.325 2.650
0.000 3.975 2.650
1.325 2.650 0.000
2.650 0.000 1.325
2.650 0.000 3.975
3.975 2.650 0.000
```

Computed properties:
Energy in Ry/atom: -0.401
Energy relative to the elements in eV/atom: 0.484
Space-group type: No. 223
Crystal system: cubic

Record 11
VASP calculation (GGA-PBE) on a relaxed K2Ga12Pt7 crystal.

POSCAR file:
```
K2Ga12Pt7
1.0
10.262 0.000 0.000
-5.131 8.888 0.000
0.000 0.000 4.197
K Ga Pt
2 12 7
Cartesian
0.000 0.000 0.000
0.000 5.925 2.098
-3.609 6.645 2.098
-0.585 3.600 0.000
1.181 2.440 2.098
-1.721 7.594 0.000
2.954 1.546 0.000
4.947 1.094 2.098
3.605 4.056 2.098
2.306 6.581 0.000
2.428 8.691 2.098
4.993 5.556 0.000
7.447 1.786 0.000
6.842 3.737 2.098
-2.743 5.192 0.000
2.594 0.088 2.098
2.007 3.916 0.000
0.736 8.668 0.000
5.131 2.963 0.000
3.910 6.597 2.098
8.889 2.203 2.098
```

Computed properties:
Energy in Ry/atom: -0.322
Energy relative to the elements in eV/atom: -0.538
Space-group type: No. 174
Crystal system: hexagonal

Record 12
VASP calculation (GGA-PBE) on a relaxed KH6I2N crystal.

POSCAR file:
```
KH6I2N
1.0
2.424 1.400 10.232
-2.424 1.400 10.232
0.000 -2.799 10.232
K H I N
1 6 2 1
Cartesian
0.000 0.000 0.000
0.000 -0.558 3.619
-0.483 0.279 3.619
0.483 0.279 3.619
-0.018 -0.926 16.370
-0.793 0.478 16.370
0.811 0.448 16.370
0.000 0.000 8.451
0.000 0.000 23.344
0.000 0.000 15.925
```

Computed properties:
Energy in Ry/atom: -0.260
Space-group type: No. 146
Crystal system: trigonal

The lowest energy belongs to which entry?
NdGdHgRu

Copy entry 3 word for word.
VASP calculation (GGA-PBE) on a relaxed In2Ni21B6 crystal.

POSCAR file:
```
In2Ni21B6
1.0
0.000 5.300 5.300
5.300 0.000 5.300
5.300 5.300 0.000
In Ni B
2 21 6
Cartesian
2.650 2.650 2.650
7.951 7.951 7.951
0.000 0.000 0.000
1.781 1.781 0.000
3.519 3.519 0.000
1.781 0.000 1.781
5.300 3.519 1.781
3.519 0.000 3.519
5.300 1.781 3.519
6.507 4.094 4.094
0.000 1.781 1.781
3.519 5.300 1.781
3.519 1.781 5.300
4.094 4.094 4.094
6.507 6.507 4.094
6.507 4.094 6.507
4.094 6.507 4.094
4.094 4.094 6.507
6.507 6.507 6.507
0.000 3.519 3.519
1.781 5.300 3.519
1.781 3.519 5.300
4.094 6.507 6.507
5.300 5.300 2.890
5.300 2.890 5.300
7.711 5.300 5.300
2.890 5.300 5.300
5.300 7.711 5.300
5.300 5.300 7.711
```

Computed properties:
Energy in Ry/atom: -0.443
Energy relative to the elements in eV/atom: -0.265
Space-group type: No. 225
Crystal system: cubic

What did the fourth record say?
VASP calculation (GGA-PBE) on a relaxed Zn2TcAu4 crystal.

POSCAR file:
```
Zn2TcAu4
1.0
-2.566 2.566 6.406
2.566 -2.566 6.406
2.566 2.566 -6.406
Zn Tc Au
2 1 4
Cartesian
0.000 0.000 1.287
0.000 0.000 11.526
0.000 0.000 6.406
2.566 0.000 0.000
0.000 0.000 3.767
0.000 2.566 0.000
0.000 0.000 9.045
```

Computed properties:
Energy in Ry/atom: -0.221
Energy relative to the elements in eV/atom: 0.711
Space-group type: No. 139
Crystal system: tetragonal